No. 1
# Ba2MgTcPt (PBE, optimized geometry)
data_Ba2MgTcPt
_space_group_name_H-M_alt 'P 1'
_space_group_IT_number 1
_space_group_name_Hall 'P 1'
_cell_length_a 6.311
_cell_length_b 6.311
_cell_length_c 4.696
_cell_angle_alpha 90.00
_cell_angle_beta 90.00
_cell_angle_gamma 90.00
loop_
_atom_site_label
_atom_site_type_symbol
_atom_site_fract_x
_atom_site_fract_y
_atom_site_fract_z
Ba1 Ba 0.000 0.500 0.000
Ba2 Ba 0.500 0.000 0.000
Mg1 Mg 0.000 0.000 0.000
Tc1 Tc 0.500 0.500 0.500
Pt1 Pt 0.000 0.000 0.500
# - Space group: P4/mmm (123)
# - E_tot: -17.42 eV for the cell shown
# - Fermi-level density of states: 1.2023 states/eV/atom
# - Crystal system: tetragonal
# - Formation energy: 0.88 eV per atom



No. 2
# MoP3 (PBE, optimized geometry)
data_MoP3
_space_group_name_H-M_alt 'P 1'
_space_group_IT_number 1
_space_group_name_Hall 'P 1'
_cell_length_a 4.621
_cell_length_b 4.621
_cell_length_c 4.621
_cell_angle_alpha 130.25
_cell_angle_beta 130.25
_cell_angle_gamma 73.01
loop_
_atom_site_label
_atom_site_type_symbol
_atom_site_fract_x
_atom_site_fract_y
_atom_site_fract_z
Mo1 Mo 0.000 0.000 0.000
P1 P 0.250 0.750 0.500
P2 P 0.500 0.500 0.000
P3 P 0.750 0.250 0.500
# - Space group: I4/mmm (139)
# - E_tot: -25.30 eV for the cell shown
# - Fermi-level density of states: 0.9532 states/eV/atom
# - Crystal system: tetragonal
# - Formation energy: 0.44 eV per atom
# - Offset from the most stable computed form: 684.0 meV per atom



No. 3
# Dy4Si2C (PBE, optimized geometry)
data_Dy4Si2C
_space_group_name_H-M_alt 'P 1'
_space_group_IT_number 1
_space_group_name_Hall 'P 1'
_cell_length_a 5.986
_cell_length_b 5.986
_cell_length_c 8.193
_cell_angle_alpha 122.01
_cell_angle_beta 122.01
_cell_angle_gamma 38.58
loop_
_atom_site_label
_atom_site_type_symbol
_atom_site_fract_x
_atom_site_fract_y
_atom_site_fract_z
Dy1 Dy 0.081 0.081 0.346
Dy2 Dy 0.336 0.336 0.924
Dy3 Dy 0.664 0.664 0.076
Dy4 Dy 0.919 0.919 0.654
Si1 Si 0.382 0.382 0.351
Si2 Si 0.618 0.618 0.649
C1 C 0.000 0.000 0.000
# - Energy relative to the elements, uncorrected: -0.54 eV per atom
# - Space group: C2/m (12)
# - E_tot: -42.29 eV for the cell shown
# - Fermi-level density of states: 0.8338 states/eV/atom
# - Crystal system: monoclinic
# - Offset from the most stable computed form: 0.0 meV per atom